# NaTaO3, relaxed, DFT PBE
# - Fermi-level density of states: 0.000 states/eV/cell
# - ΔE_f (raw): -2.46 eV/atom
# - V: 139 Å³/cell
# - Total magnetization: 0.000 μB per cell
# - SG: C2/m
data_NaTaO3
_chemical_formula_sum 'Na2 Ta2 O6'
_space_group_name_H-M_alt 'P 1'
_space_group_IT_number 1
_cell_length_a 6.6835
_cell_length_b 6.6835
_cell_length_c 7.0999
_cell_angle_alpha 103.77
_cell_angle_beta 103.77
_cell_angle_gamma 26.94
loop_
_space_group_symop_operation_xyz
'x,y,z'
loop_
_atom_site_label
_atom_site_type_symbol
_atom_site_fract_x
_atom_site_fract_y
_atom_site_fract_z
_atom_site_occupancy
Na1 Na 0.1397 0.1397 0.3651 1
Na2 Na 0.8603 0.8603 0.6349 1
Ta1 Ta 0.3589 0.3589 0.1556 1
Ta2 Ta 0.6411 0.6411 0.8444 1
O1 O 0.0402 0.0402 0.7832 1
O2 O 0.1912 0.1912 0.0541 1
O3 O 0.3274 0.3274 0.3906 1
O4 O 0.6726 0.6726 0.6094 1
O5 O 0.8088 0.8088 0.9459 1
O6 O 0.9598 0.9598 0.2168 1



# TbSm6Er5, relaxed, DFT PBE
# - Uncorrected energy: -55.55 eV/cell
# - Fermi-level density of states: 15.575 states/eV/cell
# - V: 386 Å³/cell
# - Total magnetization: 0.000 μB per cell
# - SG: Immm
data_TbSm6Er5
_chemical_formula_sum 'Tb1 Sm6 Er5'
_space_group_name_H-M_alt 'P 1'
_space_group_IT_number 1
_cell_length_a 9.4487
_cell_length_b 9.4487
_cell_length_c 9.4487
_cell_angle_alpha 148.94
_cell_angle_beta 115.73
_cell_angle_gamma 73.10
loop_
_space_group_symop_operation_xyz
'x,y,z'
loop_
_atom_site_label
_atom_site_type_symbol
_atom_site_fract_x
_atom_site_fract_y
_atom_site_fract_z
_atom_site_occupancy
Tb1 Tb 0.0000 0.0000 0.0000 1
Sm1 Sm 0.0837 0.8333 0.2505 1
Sm2 Sm 0.2509 0.5000 0.7509 1
Sm3 Sm 0.4172 0.1667 0.2505 1
Sm4 Sm 0.5828 0.8333 0.7495 1
Sm5 Sm 0.7491 0.5000 0.2491 1
Sm6 Sm 0.9163 0.1667 0.7495 1
Er1 Er 0.1668 0.6668 0.5000 1
Er2 Er 0.3332 0.3332 0.0000 1
Er3 Er 0.5000 0.0000 0.5000 1
Er4 Er 0.6668 0.6668 0.0000 1
Er5 Er 0.8332 0.3332 0.5000 1